1.
First-principles (GGA-PBE) data for a relaxed structure of Ta2HgRu, as listed in Alexandria.

Properties
energy = -8.2271 eV/atom
formation energy = 0.094 eV/atom
D(E_F) = 0.821 states/eV/atom

a = 4.099 Å, b = 2.984 Å, c = 6.235 Å
α = 66.74°, β = 90.00°, γ = 90.00°
Fractional coordinates of all 4 atoms:
Ru  0.500  0.750  0.750
Ta  0.000  0.981  0.976
Ta  0.000  0.519  0.524
Hg  0.500  0.250  0.250

2.
First-principles (GGA-PBE) data for a relaxed structure of UVFe, as listed in Alexandria.

Properties
energy relative to the lowest polymorph listed for this composition = 0.00 kcal/mol of atoms
energy = -9.5983 eV/atom
formation energy = 0.025 eV/atom
D(E_F) = 1.238 states/eV/atom

a = 2.822 Å, b = 2.822 Å, c = 5.947 Å
α = 103.72°, β = 103.72°, γ = 90.00°
Fractional coordinates of all 3 atoms:
Fe  0.312  0.312  0.623
U  0.996  0.996  0.992
V  0.692  0.692  0.385

3.
First-principles (GGA-PBE) data for a relaxed structure of Zr6TlZn5, as listed in Alexandria.

Properties
energy = -5.2168 eV/atom
formation energy = -0.215 eV/atom
D(E_F) = 0.783 states/eV/atom

a = 4.417 Å, b = 7.909 Å, c = 8.053 Å
α = 119.41°, β = 105.92°, γ = 90.00°
Fractional coordinates of all 12 atoms:
Zn  0.000  0.500  0.000
Zr  0.168  0.911  0.337
Zr  0.500  0.734  0.000
Zn  0.672  0.672  0.345
Zr  0.500  0.266  0.000
Zn  0.328  0.328  0.655
Zn  0.333  0.833  0.666
Zr  0.832  0.574  0.663
Zr  0.168  0.426  0.337
Zn  0.667  0.167  0.334
Tl  0.000  0.000  0.000
Zr  0.832  0.089  0.663

4.
First-principles (GGA-PBE) data for a relaxed structure of LaSi2Pt, as listed in Alexandria.

Properties
energy = -5.8258 eV/atom
D(E_F) = 0.543 states/eV/atom

a = 4.274 Å, b = 4.274 Å, c = 4.328 Å
α = 90.00°, β = 90.00°, γ = 93.90°
Fractional coordinates of all 4 atoms:
La  0.500  0.000  0.500
Pt  0.000  0.500  0.500
Si  0.000  0.000  0.000
Si  0.500  0.500  0.000

5.
First-principles (GGA-PBE) data for a relaxed structure of TbSmZnHg, as listed in Alexandria.

Properties
energy relative to the lowest polymorph listed for this composition = 0.00 kcal/mol of atoms
energy = -3.1378 eV/atom
formation energy = -0.407 eV/atom
D(E_F) = 1.025 states/eV/atom

a = 3.657 Å, b = 3.657 Å, c = 7.490 Å
α = 90.00°, β = 90.00°, γ = 90.00°
Fractional coordinates of all 4 atoms:
Hg  0.000  0.000  0.848
Tb  0.500  0.500  0.590
Sm  0.500  0.500  0.125
Zn  0.000  0.000  0.365

6.
First-principles (GGA-PBE) data for a relaxed structure of Pm4Se3S2, as listed in Alexandria.

Properties
energy relative to the lowest polymorph listed for this composition = 0.00 kcal/mol of atoms
energy = -6.0214 eV/atom
D(E_F) = 0.473 states/eV/atom

a = 3.903 Å, b = 5.480 Å, c = 12.264 Å
α = 96.88°, β = 90.00°, γ = 110.86°
Last column: magnetic moment on the atom in μB.
Fractional coordinates of all 9 atoms:
Pm  0.117  0.234  0.618  0.09
Se  0.393  0.785  0.588  -0.01
Pm  0.411  0.821  0.834  0.10
Se  0.607  0.215  0.412  -0.01
S  0.695  0.390  0.780  0.00
Pm  0.589  0.179  0.166  0.10
Se  0.000  0.000  0.000  0.00
S  0.305  0.610  0.220  0.00
Pm  0.883  0.766  0.382  0.09

7.
First-principles (GGA-PBE) data for a relaxed structure of Cs2HgPtI6, as listed in Alexandria.

Properties
energy = -2.4816 eV/atom
D(E_F) = 0.000 states/eV/atom

a = 8.471 Å, b = 8.471 Å, c = 8.447 Å
α = 59.91°, β = 59.91°, γ = 90.00°
Fractional coordinates of all 10 atoms:
Cs  0.250  0.750  0.500
I  0.272  0.728  0.000
Cs  0.750  0.250  0.500
Hg  0.000  0.000  0.000
I  0.728  0.272  0.000
Pt  0.500  0.500  0.000
I  0.728  0.728  0.000
I  0.731  0.731  0.539
I  0.269  0.269  0.461
I  0.272  0.272  0.000

8.
First-principles (GGA-PBE) data for a relaxed structure of La4MgIr, as listed in Alexandria.

Properties
energy relative to the lowest polymorph listed for this composition = 21.71 kcal/mol of atoms
energy = -4.4758 eV/atom
formation energy = 0.552 eV/atom
D(E_F) = 2.047 states/eV/atom

a = 6.302 Å, b = 6.302 Å, c = 6.302 Å
α = 60.00°, β = 60.00°, γ = 60.00°
Fractional coordinates of all 6 atoms:
La  0.373  0.881  0.373
Ir  0.000  0.000  0.000
La  0.373  0.373  0.881
La  0.881  0.373  0.373
La  0.373  0.373  0.373
Mg  0.750  0.750  0.750

9.
First-principles (GGA-PBE) data for a relaxed structure of Rb3Cu8Se6, as listed in Alexandria.

Properties
energy = -3.7896 eV/atom
D(E_F) = 0.300 states/eV/atom

a = 9.524 Å, b = 9.524 Å, c = 10.384 Å
α = 73.42°, β = 73.42°, γ = 24.36°
Fractional coordinates of all 17 atoms:
Rb  0.500  0.500  0.000
Se  0.037  0.037  0.708
Se  0.652  0.652  0.349
Rb  0.691  0.691  0.698
Cu  0.697  0.697  0.088
Se  0.963  0.963  0.292
Se  0.162  0.162  0.979
Cu  0.517  0.517  0.364
Cu  0.483  0.483  0.636
Cu  0.104  0.104  0.216
Cu  0.922  0.922  0.532
Cu  0.303  0.303  0.912
Se  0.348  0.348  0.651
Cu  0.078  0.078  0.468
Cu  0.896  0.896  0.784
Se  0.838  0.838  0.021
Rb  0.309  0.309  0.302

10.
First-principles (GGA-PBE) data for a relaxed structure of Se3IBr, as listed in Alexandria.

Properties
energy relative to the lowest polymorph listed for this composition = 0.00 kcal/mol of atoms
energy = -2.7064 eV/atom

a = 7.233 Å, b = 9.490 Å, c = 8.718 Å
α = 79.37°, β = 79.12°, γ = 44.09°
Fractional coordinates of all 10 atoms:
Br  0.770  0.804  0.779
Se  0.457  0.038  0.546
I  0.375  0.459  0.752
Se  0.247  0.702  0.331
Se  0.575  0.370  0.237
I  0.047  0.940  0.060
Se  0.749  0.495  0.291
Br  0.268  0.220  0.242
Se  0.071  0.279  0.689
Se  0.886  0.136  0.743

11.
First-principles (GGA-PBE) data for a relaxed structure of Ca2MnP, as listed in Alexandria.

Properties
energy = -4.4729 eV/atom
formation energy = 0.173 eV/atom
D(E_F) = 0.787 states/eV/atom

a = 4.777 Å, b = 4.777 Å, c = 4.777 Å
α = 60.00°, β = 60.00°, γ = 60.00°
Last column: magnetic moment on the atom in μB.
Fractional coordinates of all 4 atoms:
Ca  0.000  0.000  0.000  -0.16
Ca  0.250  0.250  0.250  -0.09
P  0.750  0.750  0.750  -0.02
Mn  0.500  0.500  0.500  2.73

12.
First-principles (GGA-PBE) data for a relaxed structure of Cd3Os5, as listed in Alexandria.

Properties
energy relative to the lowest polymorph listed for this composition = 8.40 kcal/mol of atoms
energy = -6.3142 eV/atom
formation energy = 1.048 eV/atom
D(E_F) = 1.361 states/eV/atom

a = 8.313 Å, b = 8.314 Å, c = 4.820 Å
α = 90.00°, β = 90.00°, γ = 60.00°
Fractional coordinates of all 16 atoms:
Cd  0.606  0.000  0.250
Os  0.667  0.667  0.500
Cd  0.000  0.394  0.250
Os  0.826  0.000  0.750
Cd  0.394  0.606  0.250
Cd  0.000  0.606  0.750
Cd  0.394  0.000  0.750
Os  0.333  0.333  0.500
Os  0.826  0.174  0.250
Os  0.333  0.333  0.000
Cd  0.606  0.394  0.750
Os  0.667  0.667  0.000
Os  0.000  0.174  0.750
Os  0.174  0.000  0.250
Os  0.174  0.826  0.750
Os  0.000  0.826  0.250